No. 1
Ho5SbRh2 (GGA-PBE, relaxed); raw formation energy = -0.799 eV per atom; size of the total moment = 0.000 μB/atom
1.0
-7.636 -1.250 0.348
0.287 -3.656 -6.822
4.759 -3.303 6.367
Ho Sb Rh
10 2 4
Cartesian
0.000 0.000 0.000 Ho
-3.674 -2.453 -3.237 Ho
3.457 -4.328 1.089 Ho
1.885 -2.734 4.566 Ho
-0.307 -5.637 -0.013 Ho
-4.474 -5.474 -4.673 Ho
-1.880 -4.043 3.463 Ho
-6.047 -3.880 -1.196 Ho
-0.710 -4.165 -3.570 Ho
-2.283 -2.571 -0.094 Ho
0.542 -2.878 1.565 Sb
-3.132 -5.331 -1.672 Sb
-6.387 -3.413 -4.063 Rh
-0.962 -1.492 -2.411 Rh
-2.505 -3.596 -5.745 Rh
-4.843 -1.309 -0.729 Rh



No. 2
TaNi2Ag (GGA-PBE, relaxed); formation energy = 0.056 eV/atom; size of the total moment = 0.000 μB/atom
1.0
-1.046 -4.621 -1.129
1.325 -1.361 -4.485
2.262 2.332 3.629
Ni Ta Ag
2 1 1
Cartesian
0.678 -2.632 -0.146 Ni
0.001 -0.014 -0.013 Ni
0.139 -2.975 -2.792 Ta
1.864 -1.020 -1.841 Ag



No. 3
Be2AlCu (GGA-PBE, relaxed); formation energy = 0.033 eV/atom; size of the total moment = 0.000 μB/atom
1.0
-0.703 -0.236 3.792
2.332 -1.118 0.363
1.787 3.917 0.576
Cu Al Be
1 1 2
Cartesian
2.243 1.022 0.480 Cu
2.531 2.308 2.582 Al
0.445 0.848 2.104 Be
2.044 3.702 0.610 Be



No. 4
La4SiTe2Cl (GGA-PBE, relaxed); raw formation energy = -1.427 eV per atom; size of the total moment = 0.000 μB/atom
1.0
-3.366 -2.223 -1.813
4.310 -1.284 -6.427
3.831 -6.496 0.848
La Te Cl Si
4 2 1 1
Cartesian
2.321 -6.226 -2.071 La
5.991 -5.784 -4.033 La
-1.216 -4.218 -3.359 La
2.454 -3.777 -5.321 La
3.831 -6.496 0.848 Te
0.233 -4.359 -0.483 Te
0.472 -1.753 -4.120 Cl
4.071 -3.890 -2.789 Si



No. 5
KAgPtI6 (GGA-PBE, relaxed); raw formation energy = -0.402 eV per atom; size of the total moment = 0.000 μB/atom
1.0
7.566 0.002 0.002
3.785 6.552 -0.002
0.002 -0.003 7.670
Ag I Pt K
1 6 1 1
Cartesian
7.568 4.368 3.835 Ag
1.585 2.317 2.254 I
5.985 2.317 5.415 I
2.568 4.021 5.416 I
4.768 0.211 2.253 I
2.801 0.211 5.416 I
5.001 4.021 2.254 I
3.785 2.183 3.835 Pt
0.003 -0.003 7.670 K



No. 6
KHfCr2Bi (GGA-PBE, relaxed); formation energy = 1.298 eV/atom; size of the total moment = 2.005 μB/atom
1.0
-0.642 3.867 -3.886
-5.548 -0.231 0.686
0.313 3.932 3.861
Cr Bi K Hf
2 1 1 1
Cartesian
0.157 1.966 1.931 Cr
-0.321 1.934 -1.943 Cr
0.000 0.000 0.000 Bi
-2.938 3.784 0.330 K
-2.774 -0.116 0.343 Hf



No. 7
TlRu2Pt (GGA-PBE, relaxed); formation energy = 0.394 eV/atom; size of the total moment = 0.000 μB/atom
1.0
9.379 -0.012 -0.007
8.937 2.845 -0.007
8.937 1.382 2.487
Ru Tl Pt
2 1 1
Cartesian
27.140 4.198 2.462 Ru
7.033 1.088 0.638 Ru
13.679 2.116 1.241 Tl
20.283 3.137 1.840 Pt



No. 8
TmZrRh (GGA-PBE, relaxed); formation energy = -0.598 eV/atom; size of the total moment = 0.000 μB/atom
1.0
-2.764 -0.748 -2.080
2.811 0.361 -3.864
1.649 -7.483 0.500
Zr Rh Tm
2 2 2
Cartesian
2.530 -7.351 -0.855 Zr
0.993 -0.467 -4.300 Zr
2.798 -2.013 -3.131 Rh
0.725 -5.805 -2.024 Rh
3.392 -4.706 -2.952 Tm
0.131 -3.112 -2.203 Tm



No. 9
K3Ce3CdSe8 (GGA-PBE, relaxed); raw formation energy = -1.448 eV per atom; size of the total moment = 0.074 μB/atom
1.0
8.497 0.000 0.000
-4.248 7.355 -0.027
0.000 -4.873 7.762
Se Ce K Cd
8 3 3 1
Cartesian
0.000 2.460 2.248 Se
-2.094 3.681 5.421 Se
0.000 0.051 5.432 Se
6.342 -1.199 2.313 Se
4.249 0.021 5.486 Se
4.248 2.430 2.302 Se
2.094 3.681 5.421 Se
2.155 -1.199 2.313 Se
4.248 -2.437 3.881 Ce
-2.124 1.241 3.867 Ce
2.124 1.241 3.867 Ce
-2.124 3.678 -0.014 K
2.124 3.677 -0.014 K
0.000 0.000 0.000 K
0.000 -2.437 3.881 Cd



No. 10
Ba2AcHo3O8 (GGA-PBE, relaxed); raw formation energy = -3.175 eV per atom; size of the total moment = 0.000 μB/atom
1.0
7.051 0.000 0.000
3.525 6.106 0.000
3.525 2.035 6.140
O Ac Ho Ba
8 1 3 2
Cartesian
7.051 2.163 1.247 O
7.051 5.874 4.981 O
3.525 2.035 1.186 O
8.613 3.169 4.981 O
5.399 5.025 1.247 O
5.489 3.169 4.981 O
8.703 5.025 1.247 O
10.576 6.106 4.861 O
10.576 6.106 2.195 Ac
7.051 2.068 6.134 Ho
8.785 5.072 6.134 Ho
5.317 5.072 6.134 Ho
7.051 4.071 3.090 Ba
3.525 2.035 3.903 Ba



No. 11
NdAg4Hg4 (GGA-PBE, relaxed); formation energy = -0.053 eV/atom; size of the total moment = 0.000 μB/atom
1.0
6.301 0.000 0.000
0.000 6.301 0.000
0.000 0.000 10.361
Hg Ag Nd
8 8 2
Cartesian
0.000 1.631 7.512 Hg
3.150 4.782 8.030 Hg
0.000 4.669 7.512 Hg
4.782 3.150 2.332 Hg
1.519 3.150 2.332 Hg
3.150 1.519 8.030 Hg
4.669 0.000 2.849 Hg
1.631 0.000 2.849 Hg
3.150 4.940 0.625 Ag
0.000 1.790 4.556 Ag
4.511 0.000 5.806 Ag
1.790 0.000 5.806 Ag
4.940 3.150 9.736 Ag
1.361 3.150 9.736 Ag
0.000 4.511 4.556 Ag
3.150 1.361 0.625 Ag
3.150 3.150 5.181 Nd
0.000 0.000 0.000 Nd



No. 12
AlBiP2S (GGA-PBE, relaxed); raw formation energy = 1.126 eV per atom; size of the total moment = 0.319 μB/atom
1.0
-0.508 -2.569 -4.600
4.383 -2.772 1.063
-2.912 -3.691 2.383
P Bi Al S
2 1 1 1
Cartesian
-0.254 -1.284 -2.300 P
2.191 -1.386 0.532 P
0.000 0.000 0.000 Bi
0.481 -4.516 -0.577 Al
-1.456 -1.845 1.191 S